(1)
A geometry-optimized Sc2TaTi3N6 structure. Source: the Alexandria database, functional GGA-PBE.

Values from the calculation:
Theoretical density = 6.7 g/cm³
Size of the total moment = 0.00 μB per formula unit
Uncorrected formation energy = -20.3 eV per formula unit

Lattice parameters (Å, degrees): 5.337 5.337 5.331 99.60 99.60 119.99
Sites, in units of the cell vectors:
Sc (0.333, 0.667, 0.000)
Sc (0.667, 0.333, 0.000)
Ta (0.000, 0.000, 0.000)
Ti (0.171, 0.829, 0.500)
Ti (0.829, 0.171, 0.500)
Ti (0.500, 0.500, 0.500)
N (0.915, 0.585, 0.744)
N (0.757, 0.757, 0.261)
N (0.085, 0.415, 0.256)
N (0.585, 0.915, 0.744)
N (0.243, 0.243, 0.739)
N (0.415, 0.085, 0.256)



(2)
A geometry-optimized Pm2YSe3 structure. Source: the Alexandria database, functional GGA-PBE.

Values from the calculation:
E above lowest polymorph = 1.64 kJ per mole of atoms
Theoretical density = 6.7 g/cm³
Size of the total moment = 0.00 μB per formula unit
Uncorrected formation energy = -10.8 eV per formula unit

Lattice parameters (Å, degrees): 4.098 4.098 21.089 90.00 90.00 120.00
Sites, in units of the cell vectors:
Pm (0.333, 0.667, 0.917)
Pm (0.667, 0.333, 0.083)
Pm (0.667, 0.333, 0.417)
Pm (0.333, 0.667, 0.583)
Y (0.000, 0.000, 0.250)
Y (0.000, 0.000, 0.750)
Se (0.000, 0.000, 0.000)
Se (0.333, 0.667, 0.168)
Se (0.333, 0.667, 0.332)
Se (0.000, 0.000, 0.500)
Se (0.667, 0.333, 0.668)
Se (0.667, 0.333, 0.832)



(3)
A geometry-optimized Tb4Ga3Ni structure. Source: the Alexandria database, functional GGA-PBE.

Values from the calculation:
Theoretical density = 8.1 g/cm³
Size of the total moment = 0.00 μB per formula unit
Energy relative to the elements = -0.5439 eV per atom

Lattice parameters (Å, degrees): 3.909 4.310 11.027 90.00 90.00 90.00
Sites, in units of the cell vectors:
Tb (0.500, 0.500, 0.342)
Tb (0.000, 0.500, 0.872)
Tb (0.000, 0.000, 0.140)
Tb (0.500, 0.000, 0.650)
Ga (0.000, 0.500, 0.573)
Ga (0.000, 0.000, 0.425)
Ga (0.500, 0.000, 0.930)
Ni (0.500, 0.500, 0.067)



(4)
A geometry-optimized LaNb3W structure. Source: the Alexandria database, functional GGA-PBE.

Values from the calculation:
Theoretical density = 8.0 g/cm³
Size of the total moment = 0.00 μB per formula unit
Energy relative to the elements = 0.8881 eV per atom

Lattice parameters (Å, degrees): 4.988 4.988 4.988 90.00 90.00 90.00
Sites, in units of the cell vectors:
Nb (0.000, 0.500, 0.000)
Nb (0.000, 0.000, 0.500)
Nb (0.500, 0.000, 0.000)
W (0.000, 0.000, 0.000)
La (0.500, 0.500, 0.500)



(5)
A geometry-optimized BeNi2Rh structure. Source: the Alexandria database, functional GGA-PBE.

Values from the calculation:
Theoretical density = 8.6 g/cm³
Size of the total moment = 0.55 μB per formula unit
Energy relative to the elements = -0.1810 eV per atom

Lattice parameters (Å, degrees): 2.992 3.724 3.971 90.00 90.00 90.00
Sites, in units of the cell vectors:
Ni (0.000, 0.000, 0.000)
Ni (0.500, 0.500, 0.000)
Rh (0.500, 0.000, 0.500)
Be (0.000, 0.500, 0.500)



(6)
A geometry-optimized SrCuIr2 structure. Source: the Alexandria database, functional GGA-PBE.

Values from the calculation:
E above lowest polymorph = 2.81 kJ per mole of atoms
Theoretical density = 9.5 g/cm³
Size of the total moment = 0.00 μB per formula unit
Energy relative to the elements = 0.2195 eV per atom

Lattice parameters (Å, degrees): 4.626 4.626 9.353 75.68 75.68 90.00
Sites, in units of the cell vectors:
Sr (0.000, 0.000, 0.000)
Sr (0.750, 0.250, 0.500)
Ir (0.297, 0.125, 0.250)
Ir (0.453, 0.625, 0.250)
Ir (0.375, 0.703, 0.750)
Ir (0.875, 0.547, 0.750)
Cu (0.500, 0.500, 0.000)
Cu (0.250, 0.750, 0.500)



(7)
A geometry-optimized KFe2Ni structure. Source: the Alexandria database, functional GGA-PBE.

Values from the calculation:
E above lowest polymorph = 51.97 kJ per mole of atoms
Theoretical density = 5.5 g/cm³
Size of the total moment = 5.79 μB per formula unit
Energy relative to the elements = 1.1225 eV per atom

Lattice parameters (Å, degrees): 5.329 5.329 2.573 90.00 90.00 120.46
Sites, in units of the cell vectors:
Fe (0.000, 0.000, 0.000)
Fe (0.500, 0.500, 0.000)
K (0.500, 0.000, 0.500)
Ni (0.000, 0.500, 0.500)



(8)
A geometry-optimized Pm7DyY12 structure. Source: the Alexandria database, functional GGA-PBE.

Values from the calculation:
E above lowest polymorph = 39.01 kJ per mole of atoms
Theoretical density = 5.1 g/cm³
Size of the total moment = 0.00 μB per formula unit
Energy relative to the elements = 0.6391 eV per atom

Lattice parameters (Å, degrees): 9.806 9.806 9.806 109.47 109.47 109.47
Sites, in units of the cell vectors:
Pm (0.500, 0.500, 0.000)
Pm (0.000, 0.500, 0.500)
Pm (0.500, 0.000, 0.500)
Pm (0.500, 0.500, 0.500)
Pm (0.000, 0.000, 0.500)
Pm (0.500, 0.000, 0.000)
Pm (0.000, 0.500, 0.000)
Dy (0.000, 0.000, 0.000)
Y (0.504, 0.752, 0.752)
Y (0.000, 0.752, 0.248)
Y (0.496, 0.248, 0.248)
Y (0.000, 0.248, 0.752)
Y (0.752, 0.000, 0.248)
Y (0.752, 0.504, 0.752)
Y (0.248, 0.000, 0.752)
Y (0.248, 0.496, 0.248)
Y (0.752, 0.752, 0.504)
Y (0.248, 0.248, 0.496)
Y (0.752, 0.248, 0.000)
Y (0.248, 0.752, 0.000)



- Which value of size of the total moment does entry 3 give?
  0.00 μB per formula unit



- The highest size of the total moment belongs to which entry?
  KFe2Ni